RbCaCrF6: optimized geometry, PBE+U.

Calculated values
**Size of the total moment**: 0.333 μB per atom
**Symmetry**: Imma, No. 74
**Total energy**: -100.637 eV/cell

Cell and atoms, written as POSCAR:
```
RbCaCrF6
1.0
-6.427 0.201 -4.249
3.532 -3.670 -5.516
-0.039 -2.755 6.919
Ca F Rb Cr
2 12 2 2
Cartesian
-3.233 -1.277 1.335 Ca
-0.019 -1.378 3.459 Ca
-0.770 -2.882 -3.483 F
-2.164 -3.343 0.637 F
-3.049 -2.811 -4.990 F
1.741 -5.104 -0.396 F
0.115 -3.414 2.143 F
-0.538 -5.033 -1.903 F
-0.717 -3.114 -6.052 F
-5.157 -2.185 0.707 F
-2.217 -3.111 3.206 F
2.223 -4.039 -3.553 F
-4.675 -1.121 -2.450 F
-2.396 -1.192 -0.943 F
0.446 -2.239 -0.780 Rb
-3.379 -3.986 -2.067 Rb
-3.214 0.100 -2.125 Cr
-1.447 -1.735 -4.883 Cr
```